First-principles (GGA-PBE) data for a relaxed Sr2MnFe crystal, as listed in Alexandria.

Structure (POSCAR):
```
Sr2MnFe
1.0
1.992 1.150 8.561
-1.992 1.150 8.561
0.000 -2.300 8.561
Sr Mn Fe
2 1 1
direct
0.000 0.000 0.000 Sr
0.180 0.180 0.180 Sr
0.757 0.757 0.757 Mn
0.422 0.422 0.422 Fe
```

Summary:
- Calculated formation energy: 140 kJ/mol of formula units
- Polymorph energy (0 for the lowest one): 0.000 eV/atom